[1]
# BeAl2Pb

A relaxed structure of BeAl2Pb (PBE, the Alexandria database).

POSCAR file:
```
BeAl2Pb
1.0
-0.517 -4.492 -4.416
-0.650 -6.228 -0.859
-3.869 -4.433 -2.308
Be Al Pb
1 2 1
Direct
0.250 0.250 0.250
0.959 0.959 0.959
0.541 0.541 0.541
0.750 0.750 0.750
```

Computed properties:
energy: -13.851 eV/cell
ΔE_f: 267 meV/atom
M_tot: 0.000 μB/atom
SG: No. 166

---

[2]
# Be2AlPb

A relaxed structure of Be2AlPb (PBE, the Alexandria database).

POSCAR file:
```
Be2AlPb
1.0
-1.433 -2.773 -3.559
4.694 0.237 -0.563
0.538 -2.637 1.548
Pb Be Al
1 2 1
Direct
0.500 0.000 0.500
0.000 0.000 0.000
0.500 0.500 0.000
0.000 0.500 0.500
```

Computed properties:
energy: -12.059 eV/cell
ΔE_f: 711 meV/atom
M_tot: 0.000 μB/atom
SG: No. 12

---

no.,energy above the lowest structure with this stoichiometry (kcal/mol of atoms)
1,0.00
2,10.04